(1)
Tb3Y4Ir4 | GGA-PBE | relaxed

The formation energy comes out at -7.04 eV per formula unit.

Cell lengths 3.8311, 8.6951, 9.3134 Å; angles 117.83, 101.87, 90.00 degrees
With the nearest neighbours (Å) after each atom.
Fractional positions:
Tb 0.1003 0.1003 0.2005  6 Ir 3.05-3.12, 1 Tb 3.21
Tb 0.8997 0.8997 0.7995  6 Ir 3.05-3.12, 1 Tb 3.21
Tb 0.0000 0.5000 0.0000  4 Ir 3.14
Y 0.3330 0.1439 0.6660  4 Ir 2.80-3.00
Y 0.6670 0.4779 0.3340  4 Ir 2.80-3.00
Y 0.6670 0.8561 0.3340  4 Ir 2.80-3.00
Y 0.3330 0.5221 0.6660  4 Ir 2.80-3.00
Ir 0.2518 0.7518 0.5037  6 Y 2.87-3.00, 2 Tb 3.05
Ir 0.7482 0.2482 0.4963  6 Y 2.87-3.00, 2 Tb 3.05
Ir 0.5000 0.7857 0.0000  2 Y 2.80, 6 Tb 3.12-3.14
Ir 0.5000 0.2143 0.0000  2 Y 2.80, 6 Tb 3.12-3.14

(2)
Pu2CdBi | GGA-PBE | relaxed

The formation energy comes out at -0.67 eV per formula unit.

Cell lengths 5.4242, 5.4242, 5.4242 Å; angles 60.00, 60.00, 60.00 degrees
With the nearest neighbours (Å) after each atom.
Fractional positions:
Cd 0.0000 0.0000 0.0000  8 Pu 3.32
Bi 0.5000 0.5000 0.5000  8 Pu 3.32
Pu 0.2500 0.2500 0.2500  4 Bi 3.32, 4 Cd 3.32
Pu 0.7500 0.7500 0.7500  4 Cd 3.32, 4 Bi 3.32

(3)
Ho3ZnPd | GGA-PBE | relaxed

The formation energy comes out at -2.41 eV per formula unit.

Cell lengths 4.9593, 4.9528, 10.0078 Å; angles 90.00, 75.65, 90.00 degrees
With the nearest neighbours (Å) after each atom.
Fractional positions:
Ho 0.7558 0.2500 0.1368  2 Zn 3.01, 2 Pd 3.09
Ho 0.3904 0.2500 0.8676  2 Zn 3.03, 2 Pd 3.11
Ho 0.5737 0.2500 0.5010  4 Pd 2.99-3.00, 4 Zn 3.06-3.08
Ho 0.2580 0.7500 0.1324  2 Zn 3.03, 2 Pd 3.11
Ho 0.8926 0.7500 0.8632  2 Zn 3.01, 2 Pd 3.09
Ho 0.0747 0.7500 0.4990  4 Pd 2.99-3.00, 4 Zn 3.06-3.08
Zn 0.4808 0.7500 0.6867  8 Ho 3.01-3.08
Zn 0.1675 0.2500 0.3133  8 Ho 3.01-3.08
Pd 0.6608 0.7500 0.3268  8 Ho 2.99-3.11
Pd 0.9876 0.2500 0.6732  8 Ho 2.99-3.11

(4)
Dy2HPd9 | GGA-PBE | relaxed

Its final energy is -64.306 eV/cell.

Cell lengths 4.1402, 4.1402, 11.3592 Å; angles 90.00, 90.00, 90.00 degrees
With the nearest neighbours (Å) after each atom.
Fractional positions:
Dy 0.0000 0.0000 0.3167  12 Pd 2.88-2.94
Dy 0.0000 0.0000 0.6833  12 Pd 2.88-2.94
H 0.0000 0.0000 0.0000  12 Pd 2.62-2.93
Pd 0.5000 0.5000 0.0000  8 Pd 2.62, 4 H 2.93
Pd 0.5000 0.5000 0.3223  8 Pd 2.89-2.92, 4 Dy 2.93
Pd 0.5000 0.5000 0.6777  8 Pd 2.89-2.92, 4 Dy 2.93
Pd 0.5000 0.0000 0.1410  2 H 2.62, 8 Pd 2.62-2.93, 2 Dy 2.88
Pd 0.5000 0.0000 0.5000  8 Pd 2.89-2.93, 4 Dy 2.94
Pd 0.5000 0.0000 0.8590  2 H 2.62, 8 Pd 2.62-2.93, 2 Dy 2.88
Pd 0.0000 0.5000 0.1410  8 Pd 2.62-2.93, 2 H 2.62, 2 Dy 2.88
Pd 0.0000 0.5000 0.5000  8 Pd 2.89-2.93, 4 Dy 2.94
Pd 0.0000 0.5000 0.8590  8 Pd 2.62-2.93, 2 H 2.62, 2 Dy 2.88

(5)
KCaSb2I | GGA-PBE | relaxed

The value obtained for the formation energy from raw total energies is -0.257 eV per atom.

Cell lengths 6.0017, 6.0017, 6.2736 Å; angles 90.00, 90.00, 90.00 degrees
With the nearest neighbours (Å) after each atom.
Fractional positions:
I 0.0000 0.0000 0.5000  2 Ca 3.14
Sb 0.0000 0.5000 0.0000  2 Ca 3.00
Sb 0.5000 0.0000 0.0000  2 Ca 3.00
Ca 0.0000 0.0000 0.0000  4 Sb 3.00, 2 I 3.14
K 0.5000 0.5000 0.5000  4 I 4.24, 8 Sb 4.34

(6)
AcFe12B6 | GGA-PBE | relaxed

The formation energy comes out at -4.72 eV per formula unit.

Cell lengths 6.1088, 6.1088, 6.1088 Å; angles 104.32, 104.32, 104.32 degrees
With the nearest neighbours (Å) after each atom.
Fractional positions:
Ac 0.0000 0.0000 0.0000  6 B 3.10, 18 Fe 3.17-3.31
Fe 0.8670 0.1330 0.5000  4 B 2.06-2.08
Fe 0.8094 0.5393 0.5393  3 B 2.14-2.17
Fe 0.5393 0.5393 0.8094  3 B 2.14-2.17
Fe 0.4607 0.1906 0.4607  3 B 2.14-2.17
Fe 0.4607 0.4607 0.1906  3 B 2.14-2.17
Fe 0.1906 0.4607 0.4607  3 B 2.14-2.17
Fe 0.1330 0.5000 0.8670  4 B 2.06-2.08
Fe 0.5000 0.8670 0.1330  4 B 2.06-2.08
Fe 0.1330 0.8670 0.5000  4 B 2.06-2.08
Fe 0.8670 0.5000 0.1330  4 B 2.06-2.08
Fe 0.5000 0.1330 0.8670  4 B 2.06-2.08
Fe 0.5393 0.8094 0.5393  3 B 2.14-2.17
B 0.6753 0.2284 0.2284  7 Fe 2.06-2.17
B 0.2284 0.2284 0.6753  7 Fe 2.06-2.17
B 0.2284 0.6753 0.2284  7 Fe 2.06-2.17
B 0.7716 0.7716 0.3247  7 Fe 2.06-2.17
B 0.3247 0.7716 0.7716  7 Fe 2.06-2.17
B 0.7716 0.3247 0.7716  7 Fe 2.06-2.17